Density functional theory data (PBE-GGA) for an optimized crystal structure of Cs2NbHgBr6.

a = 8.336 Å, b = 8.336 Å, c = 8.336 Å
α = 60.00°, β = 60.00°, γ = 60.00°
Site moments in Bohr magnetons follow the coordinates.
Fractional positions:
Cs1 0.250 0.250 0.250  0.00
Br1 0.780 0.780 0.220  -0.02
Hg1 0.500 0.500 0.500  -0.01
Br2 0.220 0.780 0.220  0.00
Cs2 0.750 0.750 0.750  0.00
Br3 0.220 0.780 0.780  0.00
Br4 0.780 0.220 0.780  0.00
Br5 0.780 0.220 0.220  0.00
Br6 0.220 0.220 0.780  -0.02
Nb1 0.000 0.000 0.000  0.86

electronic total energy: -3.343 eV per atom
space-group type: Fm-3m (225)
crystal system: cubic


Density functional theory data (PBE-GGA) for an optimized crystal structure of Cs2NiHgBr6.

a = 7.676 Å, b = 7.676 Å, c = 7.676 Å
α = 60.00°, β = 60.00°, γ = 60.00°
Site moments in Bohr magnetons follow the coordinates.
Fractional positions:
Cs1 0.250 0.250 0.250  0.00
Ni1 0.500 0.500 0.500  -0.16
Br1 0.268 0.732 0.268  0.00
Br2 0.732 0.268 0.268  0.00
Br3 0.268 0.268 0.732  0.00
Br4 0.268 0.732 0.732  0.00
Cs2 0.750 0.750 0.750  0.00
Hg1 0.000 0.000 0.000  0.01
Br5 0.732 0.732 0.268  0.00
Br6 0.732 0.268 0.732  0.00

electronic total energy: -2.684 eV per atom
space-group type: Fm-3m (225)
crystal system: cubic


Density functional theory data (PBE-GGA) for an optimized crystal structure of Cs2TlHgBr6.

a = 8.074 Å, b = 8.074 Å, c = 8.074 Å
α = 60.00°, β = 60.00°, γ = 60.00°
Fractional positions:
Br1 0.754 0.754 0.246
Cs1 0.250 0.250 0.250
Tl1 0.500 0.500 0.500
Br2 0.754 0.246 0.754
Br3 0.246 0.754 0.754
Hg1 0.000 0.000 0.000
Br4 0.246 0.246 0.754
Br5 0.246 0.754 0.246
Cs2 0.750 0.750 0.750
Br6 0.754 0.246 0.246

electronic total energy: -2.488 eV per atom
space-group type: Fm-3m (225)
crystal system: cubic


Density functional theory data (PBE-GGA) for an optimized crystal structure of Cs2YHgBr6.

a = 8.236 Å, b = 8.236 Å, c = 8.236 Å
α = 60.00°, β = 60.00°, γ = 60.00°
Fractional positions:
Br1 0.240 0.760 0.240
Br2 0.240 0.240 0.760
Br3 0.760 0.760 0.240
Br4 0.240 0.760 0.760
Hg1 0.500 0.500 0.500
Y1 0.000 0.000 0.000
Cs1 0.750 0.750 0.750
Br5 0.760 0.240 0.240
Cs2 0.250 0.250 0.250
Br6 0.760 0.240 0.760

electronic total energy: -3.352 eV per atom
space-group type: Fm-3m (225)
crystal system: cubic


Density functional theory data (PBE-GGA) for an optimized crystal structure of Cs2ZrHgBr6.

a = 8.153 Å, b = 8.865 Å, c = 13.799 Å
α = 90.00°, β = 121.71°, γ = 90.00°
Fractional positions:
Br1 0.683 0.238 0.040
Hg1 0.000 0.000 0.000
Br2 0.614 0.519 0.218
Zr1 0.500 0.500 0.000
Br3 0.683 0.262 0.540
Br4 0.317 0.738 0.460
Br5 0.386 0.481 0.782
Br6 0.317 0.762 0.960
Cs1 0.214 0.089 0.750
Cs2 0.786 0.589 0.750
Br7 0.816 0.648 0.042
Cs3 0.786 0.911 0.250
Hg2 0.000 0.500 0.500
Zr2 0.500 0.000 0.500
Br8 0.386 0.019 0.282
Br9 0.614 0.981 0.718
Br10 0.184 0.148 0.458
Br11 0.184 0.352 0.958
Br12 0.816 0.852 0.542
Cs4 0.214 0.411 0.250

electronic total energy: -3.506 eV per atom
space-group type: P2_1/c (14)
crystal system: monoclinic


Density functional theory data (PBE-GGA) for an optimized crystal structure of Cs3Ho2Br9.

a = 10.202 Å, b = 10.202 Å, c = 10.202 Å
α = 84.13°, β = 95.87°, γ = 95.87°
Fractional positions:
Br1 0.086 0.264 0.080
Br2 0.264 0.920 0.086
Br3 0.736 0.080 0.914
Br4 0.420 0.764 0.414
Ho1 0.350 0.650 0.650
Cs1 0.912 0.412 0.750
Cs2 0.412 0.250 0.912
Br5 0.080 0.086 0.736
Cs3 0.250 0.088 0.412
Br6 0.764 0.586 0.420
Cs4 0.588 0.750 0.088
Br7 0.914 0.736 0.920
Ho2 0.850 0.150 0.150
Br8 0.236 0.414 0.580
Cs5 0.750 0.912 0.588
Ho3 0.650 0.350 0.350
Cs6 0.088 0.588 0.250
Ho4 0.150 0.850 0.850
Br9 0.586 0.580 0.764
Br10 0.407 0.907 0.750
Br11 0.907 0.250 0.407
Br12 0.750 0.407 0.093
Br13 0.414 0.420 0.236
Br14 0.250 0.593 0.907
Br15 0.580 0.236 0.586
Br16 0.093 0.750 0.593
Br17 0.593 0.093 0.250
Br18 0.920 0.914 0.264

electronic total energy: -3.801 eV per atom
space-group type: R-3c (167)
crystal system: trigonal


Density functional theory data (PBE-GGA) for an optimized crystal structure of Cs2PdI2Br2.

a = 5.018 Å, b = 8.087 Å, c = 8.098 Å
α = 90.00°, β = 90.00°, γ = 90.00°
Fractional positions:
Cs1 0.500 0.000 0.474
Br1 0.000 0.780 0.222
I1 0.000 0.230 0.773
Pd1 0.000 0.000 0.002
Br2 0.000 0.220 0.222
I2 0.000 0.770 0.773
Cs2 0.500 0.500 0.033

electronic total energy: -3.008 eV per atom
space-group type: Pmm2 (25)
crystal system: orthorhombic


Density functional theory data (PBE-GGA) for an optimized crystal structure of Cs2PdI2Br2.

a = 8.071 Å, b = 8.071 Å, c = 5.033 Å
α = 90.00°, β = 90.00°, γ = 97.82°
Fractional positions:
I1 0.750 0.750 0.000
Br1 0.205 0.795 0.000
I2 0.250 0.250 0.000
Cs1 0.000 0.500 0.500
Br2 0.795 0.205 0.000
Cs2 0.500 0.000 0.500
Pd1 0.000 0.000 0.000

electronic total energy: -3.006 eV per atom
space-group type: Cmmm (65)
crystal system: orthorhombic


Density functional theory data (PBE-GGA) for an optimized crystal structure of Cs2InNiBr6.

a = 7.700 Å, b = 7.700 Å, c = 7.700 Å
α = 60.00°, β = 60.00°, γ = 60.00°
Site moments in Bohr magnetons follow the coordinates.
Fractional positions:
Br1 0.739 0.261 0.261  0.03
Ni1 0.500 0.500 0.500  1.08
Br2 0.261 0.739 0.261  0.03
Cs1 0.750 0.750 0.750  0.00
In1 0.000 0.000 0.000  -0.06
Br3 0.739 0.739 0.261  0.00
Br4 0.261 0.261 0.739  0.00
Cs2 0.250 0.250 0.250  0.00
Br5 0.261 0.739 0.739  0.03
Br6 0.739 0.261 0.739  0.03

electronic total energy: -3.065 eV per atom
space-group type: Fm-3m (225)
crystal system: cubic


Density functional theory data (PBE-GGA) for an optimized crystal structure of Cs2InPdBr6.

a = 7.760 Å, b = 7.760 Å, c = 7.760 Å
α = 60.00°, β = 60.00°, γ = 60.00°
Fractional positions:
Br1 0.745 0.255 0.255
Br2 0.745 0.745 0.255
In1 0.000 0.000 0.000
Pd1 0.500 0.500 0.500
Br3 0.255 0.745 0.255
Br4 0.255 0.745 0.745
Cs1 0.250 0.250 0.250
Br5 0.745 0.255 0.745
Br6 0.255 0.255 0.745
Cs2 0.750 0.750 0.750

electronic total energy: -3.029 eV per atom
space-group type: Fm-3m (225)
crystal system: cubic


Density functional theory data (PBE-GGA) for an optimized crystal structure of Cs2InPtBr6.

a = 7.811 Å, b = 7.811 Å, c = 7.811 Å
α = 60.00°, β = 60.00°, γ = 60.00°
Fractional positions:
In1 0.500 0.500 0.500
Cs1 0.250 0.250 0.250
Br1 0.763 0.237 0.237
Br2 0.763 0.763 0.237
Pt1 0.000 0.000 0.000
Br3 0.237 0.763 0.237
Br4 0.237 0.763 0.763
Cs2 0.750 0.750 0.750
Br5 0.237 0.237 0.763
Br6 0.763 0.237 0.763

electronic total energy: -3.047 eV per atom
space-group type: Fm-3m (225)
crystal system: cubic


Density functional theory data (PBE-GGA) for an optimized crystal structure of Cs2TbInBr6.

a = 8.420 Å, b = 8.420 Å, c = 8.420 Å
α = 60.00°, β = 60.00°, γ = 60.00°
Fractional positions:
Cs1 0.250 0.250 0.250
Tb1 0.500 0.500 0.500
Br1 0.265 0.735 0.265
Br2 0.265 0.265 0.735
Cs2 0.750 0.750 0.750
Br3 0.735 0.735 0.265
Br4 0.735 0.265 0.265
Br5 0.265 0.735 0.735
In1 0.000 0.000 0.000
Br6 0.735 0.265 0.735

electronic total energy: -3.541 eV per atom
space-group type: Fm-3m (225)
crystal system: cubic


Density functional theory data (PBE-GGA) for an optimized crystal structure of Cs2ZrInBr6.

a = 8.261 Å, b = 8.261 Å, c = 8.261 Å
α = 60.00°, β = 60.00°, γ = 60.00°
Site moments in Bohr magnetons follow the coordinates.
Fractional positions:
Cs1 0.250 0.250 0.250  0.00
In1 0.500 0.500 0.500  0.00
Br1 0.232 0.232 0.768  -0.01
Br2 0.768 0.232 0.232  0.00
Br3 0.768 0.232 0.768  0.00
Br4 0.768 0.768 0.232  -0.01
Cs2 0.750 0.750 0.750  0.00
Br5 0.232 0.768 0.232  0.00
Zr1 0.000 0.000 0.000  0.68
Br6 0.232 0.768 0.768  0.00

electronic total energy: -3.669 eV per atom
space-group type: Fm-3m (225)
crystal system: cubic


Density functional theory data (PBE-GGA) for an optimized crystal structure of Cs2TlIrBr6.

a = 7.966 Å, b = 7.966 Å, c = 7.966 Å
α = 60.00°, β = 60.00°, γ = 60.00°
Fractional positions:
Br1 0.224 0.776 0.224
Cs1 0.750 0.750 0.750
Tl1 0.500 0.500 0.500
Ir1 0.000 0.000 0.000
Br2 0.224 0.224 0.776
Br3 0.776 0.224 0.776
Br4 0.224 0.776 0.776
Cs2 0.250 0.250 0.250
Br5 0.776 0.224 0.224
Br6 0.776 0.776 0.224

electronic total energy: -3.292 eV per atom
space-group type: Fm-3m (225)
crystal system: cubic


Density functional theory data (PBE-GGA) for an optimized crystal structure of Cs2KMoBr6.

a = 8.157 Å, b = 8.157 Å, c = 8.157 Å
α = 60.00°, β = 60.00°, γ = 60.00°
Site moments in Bohr magnetons follow the coordinates.
Fractional positions:
K1 0.000 0.000 0.000  0.00
Cs1 0.250 0.250 0.250  0.00
Br1 0.727 0.727 0.273  0.02
Cs2 0.750 0.750 0.750  0.00
Br2 0.273 0.273 0.727  0.02
Br3 0.273 0.727 0.727  0.01
Br4 0.727 0.273 0.727  0.01
Mo1 0.500 0.500 0.500  2.46
Br5 0.727 0.273 0.273  0.01
Br6 0.273 0.727 0.273  0.01

electronic total energy: -3.660 eV per atom
space-group type: Fm-3m (225)
crystal system: cubic


Density functional theory data (PBE-GGA) for an optimized crystal structure of CsKPdBr4.

a = 4.606 Å, b = 7.456 Å, c = 8.007 Å
α = 90.00°, β = 90.00°, γ = 90.00°
Fractional positions:
Br1 0.500 0.763 0.716
Br2 0.500 0.237 0.284
Br3 0.500 0.763 0.284
Cs1 0.000 0.000 0.000
Pd1 0.500 0.000 0.500
Br4 0.500 0.237 0.716
K1 0.000 0.500 0.500

electronic total energy: -3.158 eV per atom
space-group type: Pmmm (47)
crystal system: orthorhombic


Density functional theory data (PBE-GGA) for an optimized crystal structure of Cs2KReBr6.

a = 8.076 Å, b = 8.076 Å, c = 8.076 Å
α = 60.00°, β = 60.00°, γ = 60.00°
Site moments in Bohr magnetons follow the coordinates.
Fractional positions:
Cs1 0.250 0.250 0.250  0.00
Br1 0.776 0.776 0.224  0.04
Br2 0.224 0.776 0.224  0.02
Cs2 0.750 0.750 0.750  0.00
Re1 0.000 0.000 0.000  1.61
K1 0.500 0.500 0.500  0.00
Br3 0.776 0.224 0.776  0.02
Br4 0.224 0.224 0.776  0.04
Br5 0.776 0.224 0.224  0.02
Br6 0.224 0.776 0.776  0.02

electronic total energy: -3.599 eV per atom
space-group type: Fm-3m (225)
crystal system: cubic


Density functional theory data (PBE-GGA) for an optimized crystal structure of Cs2KSmBr6.

a = 8.486 Å, b = 8.486 Å, c = 8.486 Å
α = 60.00°, β = 60.00°, γ = 60.00°
Fractional positions:
Br1 0.262 0.738 0.738
Br2 0.738 0.738 0.262
Cs1 0.250 0.250 0.250
K1 0.000 0.000 0.000
Br3 0.738 0.262 0.262
Br4 0.262 0.738 0.262
Cs2 0.750 0.750 0.750
Br5 0.738 0.262 0.738
Sm1 0.500 0.500 0.500
Br6 0.262 0.262 0.738

electronic total energy: -3.606 eV per atom
space-group type: Fm-3m (225)
crystal system: cubic


Density functional theory data (PBE-GGA) for an optimized crystal structure of Cs2KTaBr6.

a = 8.173 Å, b = 8.173 Å, c = 8.173 Å
α = 60.00°, β = 60.00°, γ = 60.00°
Site moments in Bohr magnetons follow the coordinates.
Fractional positions:
Br1 0.228 0.772 0.772  0.00
Br2 0.228 0.228 0.772  -0.01
Ta1 0.000 0.000 0.000  1.36
Br3 0.772 0.772 0.228  -0.01
Br4 0.772 0.228 0.228  0.00
Br5 0.772 0.228 0.772  0.01
Cs1 0.750 0.750 0.750  0.00
K1 0.500 0.500 0.500  0.00
Cs2 0.250 0.250 0.250  0.00
Br6 0.228 0.772 0.228  0.01

electronic total energy: -3.790 eV per atom
space-group type: Fm-3m (225)
crystal system: cubic


Density functional theory data (PBE-GGA) for an optimized crystal structure of Cs2KTcBr6.

a = 8.082 Å, b = 8.082 Å, c = 8.082 Å
α = 60.00°, β = 60.00°, γ = 60.00°
Site moments in Bohr magnetons follow the coordinates.
Fractional positions:
Cs1 0.750 0.750 0.750  0.00
Br1 0.224 0.776 0.224  0.01
Br2 0.776 0.224 0.776  0.01
Br3 0.224 0.224 0.776  0.03
Br4 0.224 0.776 0.776  0.02
Br5 0.776 0.224 0.224  0.02
Tc1 0.000 0.000 0.000  1.61
Cs2 0.250 0.250 0.250  0.00
Br6 0.776 0.776 0.224  0.03
K1 0.500 0.500 0.500  0.00

electronic total energy: -3.503 eV per atom
space-group type: Fm-3m (225)
crystal system: cubic


Density functional theory data (PBE-GGA) for an optimized crystal structure of Cs2KWBr6.

a = 8.142 Å, b = 8.142 Å, c = 8.142 Å
α = 60.00°, β = 60.00°, γ = 60.00°
Site moments in Bohr magnetons follow the coordinates.
Fractional positions:
Br1 0.726 0.274 0.726  0.02
Br2 0.274 0.726 0.726  0.02
W1 0.500 0.500 0.500  2.21
Cs1 0.750 0.750 0.750  0.00
K1 0.000 0.000 0.000  0.00
Br3 0.274 0.274 0.726  0.02
Br4 0.726 0.274 0.274  0.02
Br5 0.274 0.726 0.274  0.02
Cs2 0.250 0.250 0.250  0.00
Br6 0.726 0.726 0.274  0.02

electronic total energy: -3.764 eV per atom
space-group type: Fm-3m (225)
crystal system: cubic